(1)
Density functional theory data (PBEsol) for a geometry-optimized InAgPt2 structure.

Summary:
calculated density: 15.59 g cm⁻³
ΔE_f: -266 meV per atom
DOS(E_F): 0.30 states/eV/atom
magnetic moment: 0.00 μB per atom

Lattice parameters (Å, degrees): 2.9525 4.7958 4.7958 105.94 90.00 90.00
Fractional coordinates of all 4 atoms:
Pt 0.0000 0.5000 0.0000
Pt 0.0000 0.0000 0.5000
In 0.5000 0.0000 0.0000
Ag 0.5000 0.5000 0.5000

---

(2)
Density functional theory data (PBEsol) for a geometry-optimized InAgPt2 structure.

Summary:
calculated density: 15.55 g cm⁻³
ΔE_f: -240 meV per atom
DOS(E_F): 0.29 states/eV/atom
magnetic moment: 0.00 μB per atom

Lattice parameters (Å, degrees): 2.9323 4.6315 4.8177 90.00 90.00 90.00
Fractional coordinates of all 4 atoms:
In 0.5000 0.5000 0.1897
Pt 0.0000 0.5000 0.6908
Pt 0.0000 0.0000 0.0555
Ag 0.5000 0.0000 0.5639

---

(3)
Density functional theory data (PBEsol) for a geometry-optimized InAgPt2 structure.

Summary:
calculated density: 15.61 g cm⁻³
ΔE_f: -270 meV per atom
DOS(E_F): 0.29 states/eV/atom
magnetic moment: 0.00 μB per atom

Lattice parameters (Å, degrees): 2.9513 3.8082 5.8004 90.00 90.00 90.00
Fractional coordinates of all 4 atoms:
Ag 0.5000 0.5000 0.0000
Pt 0.0000 0.0000 0.7508
Pt 0.0000 0.0000 0.2492
In 0.5000 0.5000 0.5000

---

(4)
Density functional theory data (PBEsol) for a geometry-optimized InAgPt3 structure.

Summary:
calculated density: 11.74 g cm⁻³
ΔE_f: 1256 meV per atom
DOS(E_F): 0.33 states/eV/atom
magnetic moment: 0.00 μB per atom

Lattice parameters (Å, degrees): 4.8529 4.8529 4.8529 90.00 90.00 90.00
Fractional coordinates of all 5 atoms:
In 0.0000 0.0000 0.0000
Pt 0.0000 0.5000 0.0000
Pt 0.0000 0.0000 0.5000
Pt 0.5000 0.0000 0.0000
Ag 0.5000 0.5000 0.5000